HoCu4Ge4 | PBE | optimized geometry

Summary:
space group = P4_2/nmc
ΔE_f = -10.4 kJ per mole of atoms

Cell lengths 5.932, 5.932, 8.460 Å; angles 90.00, 90.00, 90.00 degrees
Sites, in units of the cell vectors:
Cu 0.000 0.719 0.425
Ge 0.000 0.277 0.711
Ge 0.500 0.223 0.789
Cu 0.500 0.781 0.075
Cu 0.219 0.500 0.925
Ho 0.000 0.000 0.000
Cu 0.500 0.219 0.075
Ge 0.500 0.777 0.789
Cu 0.719 0.000 0.575
Cu 0.781 0.500 0.925
Ho 0.500 0.500 0.500
Ge 0.777 0.500 0.211
Cu 0.000 0.281 0.425
Ge 0.223 0.500 0.211
Ge 0.723 0.000 0.289
Ge 0.277 0.000 0.289
Cu 0.281 0.000 0.575
Ge 0.000 0.723 0.711